CsPuZn2O6 after structural relaxation, computed with PBE-GGA.

Cell: 6.939 7.109 7.109 Å, 101.32 89.90 89.90°
Site moments in Bohr magnetons follow the coordinates.
Sites, in units of the cell vectors:
Pu1 0.750 0.680 0.320  1.44
O1 0.749 0.714 0.603  -0.07
O2 0.556 0.323 0.678  -0.06
O3 0.251 0.286 0.397  -0.07
Cs1 0.750 0.076 0.924  0.00
Zn1 0.250 0.775 0.529  -0.01
O4 0.251 0.037 0.661  -0.06
O5 0.751 0.661 0.037  -0.06
O6 0.249 0.603 0.714  -0.07
Zn2 0.750 0.225 0.471  -0.01
O7 0.444 0.677 0.322  -0.06
O8 0.056 0.678 0.323  -0.06
Pu2 0.250 0.320 0.680  1.44
Cs2 0.250 0.924 0.076  0.00
Zn3 0.750 0.529 0.775  -0.01
O9 0.944 0.322 0.677  -0.06
O10 0.749 0.963 0.339  -0.06
O11 0.249 0.339 0.963  -0.06
O12 0.751 0.397 0.286  -0.07
Zn4 0.250 0.471 0.225  -0.01

Cs2PuZrO6 after structural relaxation, computed with PBE-GGA.

Cell: 6.103 6.103 6.103 Å, 60.00 60.00 90.00°
Site moments in Bohr magnetons follow the coordinates.
Sites, in units of the cell vectors:
O1 0.253 0.253 0.000  0.10
Zr1 0.000 0.000 0.000  -0.01
O2 0.747 0.747 0.506  0.10
O3 0.747 0.253 0.000  0.10
Pu1 0.500 0.500 0.000  -2.61
O4 0.253 0.747 0.000  0.10
O5 0.253 0.253 0.494  0.10
O6 0.747 0.747 0.000  0.10
Cs1 0.750 0.250 0.500  0.00
Cs2 0.250 0.750 0.500  0.00

Cs4Rb7O after structural relaxation, computed with PBE-GGA.

Cell: 5.370 12.998 17.051 Å, 70.65 80.94 78.08°
Sites, in units of the cell vectors:
Rb1 0.500 0.000 0.000
Cs1 0.679 0.697 0.944
O1 0.000 0.000 0.000
Cs2 0.423 0.713 0.441
Rb2 0.632 0.487 0.248
Rb3 0.974 0.893 0.159
Cs3 0.321 0.303 0.056
Rb4 0.738 0.885 0.639
Rb5 0.026 0.107 0.841
Cs4 0.577 0.287 0.559
Rb6 0.368 0.513 0.752
Rb7 0.262 0.115 0.361

Cs3RbO after structural relaxation, computed with PBE-GGA.

Cell: 8.329 9.203 16.443 Å, 90.00 90.00 90.00°
Sites, in units of the cell vectors:
Cs1 0.271 0.998 0.874
O1 0.000 0.000 0.500
Rb1 0.831 0.250 0.423
Rb2 0.331 0.250 0.077
Cs2 0.229 0.002 0.374
Cs3 0.176 0.250 0.582
O2 0.500 0.000 0.000
Cs4 0.824 0.750 0.418
Rb3 0.169 0.750 0.577
Cs5 0.729 0.002 0.126
O3 0.500 0.500 0.000
Cs6 0.324 0.750 0.082
Cs7 0.676 0.250 0.918
Cs8 0.771 0.502 0.626
Cs9 0.271 0.502 0.874
Cs10 0.729 0.498 0.126
Cs11 0.229 0.498 0.374
O4 0.000 0.500 0.500
Rb4 0.669 0.750 0.923
Cs12 0.771 0.998 0.626

Cs4Rb4O after structural relaxation, computed with PBE-GGA.

Cell: 7.487 14.528 14.528 Å, 90.00 90.00 90.00°
Sites, in units of the cell vectors:
Cs1 0.051 0.642 0.641
Cs2 0.551 0.141 0.358
Cs3 0.949 0.142 0.141
Cs4 0.949 0.358 0.359
Rb1 0.003 0.629 0.130
Rb2 0.997 0.129 0.630
Cs5 0.449 0.859 0.642
Cs6 0.051 0.858 0.859
Rb3 0.997 0.371 0.870
O1 0.750 0.250 0.250
Rb4 0.503 0.870 0.129
Rb5 0.497 0.370 0.629
Rb6 0.503 0.630 0.371
Cs7 0.551 0.359 0.142
Cs8 0.449 0.641 0.858
O2 0.250 0.750 0.750
Rb7 0.497 0.130 0.871
Rb8 0.003 0.871 0.370

Cs3Rb5O2 after structural relaxation, computed with PBE-GGA.

Cell: 9.215 12.593 12.593 Å, 63.56 68.54 68.54°
Sites, in units of the cell vectors:
Cs1 0.874 0.922 0.330
O1 0.627 0.872 0.874
O2 0.873 0.126 0.128
Rb1 0.535 0.215 0.215
Rb2 0.625 0.076 0.675
Rb3 0.875 0.325 0.924
Cs2 0.250 0.000 0.000
Rb4 0.035 0.215 0.215
O3 0.127 0.874 0.872
Cs3 0.626 0.670 0.078
Rb5 0.750 0.500 0.500
Rb6 0.465 0.785 0.785
Cs4 0.750 0.000 0.000
Cs5 0.126 0.078 0.670
Rb7 0.125 0.675 0.076
Rb8 0.375 0.924 0.325
Rb9 0.965 0.785 0.785
Cs6 0.374 0.330 0.922
O4 0.373 0.128 0.126
Rb10 0.250 0.500 0.500

Cs2Rb4O after structural relaxation, computed with PBE-GGA.

Cell: 4.586 8.991 13.073 Å, 110.03 90.00 90.00°
Sites, in units of the cell vectors:
Rb1 0.500 0.723 0.929
Rb2 0.000 0.818 0.707
Cs1 0.500 0.621 0.313
Rb3 0.000 0.039 0.150
Rb4 0.500 0.134 0.928
O1 0.000 0.929 0.929
Cs2 0.500 0.236 0.544

Cs7RbO2 after structural relaxation, computed with PBE-GGA.

Cell: 5.147 11.877 13.066 Å, 117.03 90.00 90.00°
Sites, in units of the cell vectors:
Cs1 0.500 0.500 0.000
Cs2 0.500 0.597 0.738
Cs3 0.500 0.403 0.262
O1 0.500 0.630 0.260
Cs4 0.500 0.859 0.262
O2 0.500 0.370 0.740
Cs5 0.000 0.693 0.387
Rb1 0.000 0.000 0.000
Cs6 0.500 0.141 0.738
Cs7 0.000 0.307 0.613

| no. | E_form (uncorrected) (meV per atom) | total magnetization (Bohr magnetons per cell) |
| --- | --- | --- |
| 1 | -1852 | 2.00 |
| 2 | -2439 | 2.00 |
| 3 | -155 | 0.00 |
| 4 | -580 | 0.00 |
| 5 | -337 | 0.00 |
| 6 | -552 | 0.00 |
| 7 | -383 | 0.00 |
| 8 | -565 | 0.00 |